The following is a PBE calculation of a relaxed structure of BaPrNi, from the Alexandria database.

a = 3.7002 Å, b = 3.7002 Å, c = 7.4703 Å
α = 104.34°, β = 104.34°, γ = 90.00°
Closest atoms and distances in Å follow each position.
Fractional coordinates of all 3 atoms:
1 Pr 0.2813 0.2813 0.5626  4 Ni 2.93
2 Ba 0.0316 0.0316 0.0632  4 Ni 3.40, 1 Pr 3.49, 4 Ba 3.70
3 Ni 0.6871 0.6871 0.3742  4 Pr 2.93

Summary:
**Formation energy**: 0.02 eV per formula unit
**Symmetry**: I4mm (107)